This record from Alexandria describes a relaxed HoAgMo2O8 crystal. The functional is PBE+U.

The structure belongs to space group I-4m2 (No. 119); the cell edges are 7.449, 7.449 and 6.576 Å and the angles 90.00°, 90.00° and 90.00°. Symmetry generates all atoms from Ho at (0.000, 0.000, 0.000), Ag at (0.000, 0.500, 0.750), Mo at (0.000, 0.000, 0.500), Mo at (0.000, 0.500, 0.250), O at (0.000, 0.183, 0.680) and O at (0.000, 0.299, 0.099).

As for the total energy: -166.58 eV per cell. For the magnetization, the calculation gives 0.0000 μB/atom.